No. 1
VASP calculation (PBEsol) on crystalline Fe3TcSb at its relaxed geometry.

```
data_Fe3TcSb
_space_group_name_H-M_alt 'P m -3 m'
_space_group_IT_number 221
_space_group_name_Hall '-P 4 2 3'
_cell_length_a 4.5569
_cell_length_b 4.5569
_cell_length_c 4.5569
_cell_angle_alpha 90.00
_cell_angle_beta 90.00
_cell_angle_gamma 90.00
loop_
_atom_site_label
_atom_site_type_symbol
_atom_site_fract_x
_atom_site_fract_y
_atom_site_fract_z
_atom_site_occupancy
Fe1 Fe 0.0000 0.0000 0.5000 1
Tc1 Tc 0.5000 0.5000 0.5000 1
Sb1 Sb 0.0000 0.0000 0.0000 1
```

Summary:
Crystal system: cubic
Magnetic moment (μB per formula unit): 10.3
Calculated density (Mg/m³): 6.8
Uncorrected formation energy (meV per atom): 1896

***

No. 2
VASP calculation (PBEsol) on crystalline CuTcW2 at its relaxed geometry.

```
data_CuTcW2
_space_group_name_H-M_alt 'P 4 m m'
_space_group_IT_number 99
_cell_length_a 2.6539
_cell_length_b 2.6539
_cell_length_c 8.1555
_cell_angle_alpha 90.00
_cell_angle_beta 90.00
_cell_angle_gamma 90.00
loop_
_space_group_symop_operation_xyz
'x,y,z'
'-y,x,z'
'-x,-y,z'
'y,-x,z'
'-x,y,z'
'y,x,z'
'x,-y,z'
'-y,-x,z'
loop_
_atom_site_label
_atom_site_type_symbol
_atom_site_fract_x
_atom_site_fract_y
_atom_site_fract_z
_atom_site_occupancy
Cu1 Cu 0.0000 0.0000 0.0000 1
Tc1 Tc 0.5000 0.5000 0.2308 1
W1 W 0.0000 0.0000 0.4888 1
W2 W 0.5000 0.5000 0.7646 1
```

Summary:
E_form (meV/atom): 367
Crystal system: tetragonal
Magnetic moment (μB per formula unit): 0.0
Calculated density (Mg/m³): 15.3
Energy relative to the lowest polymorph listed for this composition (meV per atom): 110.0

***

No. 3
VASP calculation (PBEsol) on crystalline MnSnTeN2 at its relaxed geometry.

```
data_MnSnTeN2
_space_group_name_H-M_alt 'P 4/m m m'
_space_group_IT_number 123
_space_group_name_Hall '-P 4 2'
_cell_length_a 3.8721
_cell_length_b 3.8721
_cell_length_c 5.2204
_cell_angle_alpha 90.00
_cell_angle_beta 90.00
_cell_angle_gamma 90.00
loop_
_atom_site_label
_atom_site_type_symbol
_atom_site_fract_x
_atom_site_fract_y
_atom_site_fract_z
_atom_site_occupancy
Mn1 Mn 0.0000 0.0000 0.0000 1
Sn1 Sn 0.5000 0.5000 0.5000 1
Te1 Te 0.0000 0.0000 0.5000 1
N1 N 0.0000 0.5000 0.0000 1
```

Summary:
Crystal system: tetragonal
Magnetic moment (μB per formula unit): 0.0
Calculated density (Mg/m³): 7.0
Uncorrected formation energy (meV per atom): 787

***

No. 4
VASP calculation (PBEsol) on crystalline Al2CuNi3 at its relaxed geometry.

```
data_Al2CuNi3
_space_group_name_H-M_alt 'P 6/m m m'
_space_group_IT_number 191
_space_group_name_Hall '-P 6 2'
_cell_length_a 4.7928
_cell_length_b 4.7928
_cell_length_c 3.8907
_cell_angle_alpha 90.00
_cell_angle_beta 90.00
_cell_angle_gamma 120.00
loop_
_atom_site_label
_atom_site_type_symbol
_atom_site_fract_x
_atom_site_fract_y
_atom_site_fract_z
_atom_site_occupancy
Al1 Al 0.3333 0.6667 0.0000 1
Cu1 Cu 0.0000 0.0000 0.0000 1
Ni1 Ni 0.0000 0.5000 0.5000 1
```

Summary:
E_form (meV/atom): -98
Crystal system: hexagonal
Magnetic moment (μB per formula unit): 0.0
Calculated density (Mg/m³): 6.3
Energy relative to the lowest polymorph listed for this composition (meV per atom): 347.1

***

No. 5
VASP calculation (PBEsol) on crystalline K2TlSiN at its relaxed geometry.

```
data_K2TlSiN
_space_group_name_H-M_alt 'P 4/m m m'
_space_group_IT_number 123
_space_group_name_Hall '-P 4 2'
_cell_length_a 6.6100
_cell_length_b 6.6100
_cell_length_c 4.0634
_cell_angle_alpha 90.00
_cell_angle_beta 90.00
_cell_angle_gamma 90.00
loop_
_atom_site_label
_atom_site_type_symbol
_atom_site_fract_x
_atom_site_fract_y
_atom_site_fract_z
_atom_site_occupancy
K1 K 0.0000 0.5000 0.0000 1
Tl1 Tl 0.0000 0.0000 0.0000 1
Si1 Si 0.5000 0.5000 0.5000 1
N1 N 0.0000 0.0000 0.5000 1
```

Summary:
Crystal system: tetragonal
Magnetic moment (μB per formula unit): 1.8
Calculated density (Mg/m³): 3.0
Uncorrected formation energy (meV per atom): 973

***

No. 6
VASP calculation (PBEsol) on crystalline TaSi2AsP at its relaxed geometry.

```
data_TaSi2AsP
_space_group_name_H-M_alt 'P 4/m m m'
_space_group_IT_number 123
_space_group_name_Hall '-P 4 2'
_cell_length_a 4.5623
_cell_length_b 4.5623
_cell_length_c 4.8735
_cell_angle_alpha 90.00
_cell_angle_beta 90.00
_cell_angle_gamma 90.00
loop_
_atom_site_label
_atom_site_type_symbol
_atom_site_fract_x
_atom_site_fract_y
_atom_site_fract_z
_atom_site_occupancy
Ta1 Ta 0.0000 0.0000 0.0000 1
Si1 Si 0.0000 0.5000 0.5000 1
As1 As 0.0000 0.0000 0.5000 1
P1 P 0.5000 0.5000 0.0000 1
```

Summary:
Crystal system: tetragonal
Magnetic moment (μB per formula unit): 0.0
Calculated density (Mg/m³): 5.6
Uncorrected formation energy (meV per atom): 1354

***

> Number 3 is which compound?

MnSnTeN2

***

> Among the records above, which one has the lowest calculated density?

K2TlSiN

***

Please write out number 5 again, unchanged.
VASP calculation (PBEsol) on crystalline K2TlSiN at its relaxed geometry.

```
data_K2TlSiN
_space_group_name_H-M_alt 'P 4/m m m'
_space_group_IT_number 123
_space_group_name_Hall '-P 4 2'
_cell_length_a 6.6100
_cell_length_b 6.6100
_cell_length_c 4.0634
_cell_angle_alpha 90.00
_cell_angle_beta 90.00
_cell_angle_gamma 90.00
loop_
_atom_site_label
_atom_site_type_symbol
_atom_site_fract_x
_atom_site_fract_y
_atom_site_fract_z
_atom_site_occupancy
K1 K 0.0000 0.5000 0.0000 1
Tl1 Tl 0.0000 0.0000 0.0000 1
Si1 Si 0.5000 0.5000 0.5000 1
N1 N 0.0000 0.0000 0.5000 1
```

Summary:
Crystal system: tetragonal
Magnetic moment (μB per formula unit): 1.8
Calculated density (Mg/m³): 3.0
Uncorrected formation energy (meV per atom): 973

***

> What is the calculated density in the third record?

7.0 Mg/m³